(1)
Nd2Sb3Rh5 | PBE | optimized geometry

a = 4.4178 Å, b = 7.1199 Å, c = 13.1096 Å
α = 90.00°, β = 99.70°, γ = 90.00°
Fractional positions:
Sb 0.2229 0.1967 0.4458
Sb 0.6109 0.5049 0.2217
Sb 0.9453 0.4896 0.8906
Sb 0.7771 0.6967 0.5542
Sb 0.0547 0.9896 0.1094
Sb 0.3891 0.0049 0.7783
Rh 0.7195 0.9982 0.4389
Rh 0.2805 0.4982 0.5611
Rh 0.2918 0.9086 0.5836
Rh 0.1242 0.2754 0.2484
Rh 0.0556 0.6096 0.1112
Rh 0.7082 0.4086 0.4164
Rh 0.5996 0.8759 0.1992
Rh 0.8758 0.7754 0.7516
Rh 0.9444 0.1096 0.8888
Rh 0.4004 0.3759 0.8008
Nd 0.8236 0.2420 0.6472
Nd 0.1764 0.7420 0.3528
Nd 0.4869 0.7639 0.9738
Nd 0.5131 0.2639 0.0262

Computed properties:
- volume (Å³/f.u.) = 203.2
- symmetry = Cmc2_1
- ΔE_f (raw) (meV/atom) = -655
- total DFT energy (no corrections) (eV for the cell shown) = -130.417

=====

(2)
NdSb6Rh12 | PBE | optimized geometry

a = 7.5025 Å, b = 7.5025 Å, c = 7.5025 Å
α = 106.74°, β = 106.74°, γ = 106.74°
Fractional positions:
Rh 0.4001 0.4001 0.1678
Rh 0.8774 0.1226 0.5000
Rh 0.1226 0.8774 0.5000
Rh 0.5999 0.5999 0.8322
Rh 0.1678 0.4001 0.4001
Rh 0.5999 0.8322 0.5999
Rh 0.4001 0.1678 0.4001
Rh 0.8322 0.5999 0.5999
Rh 0.5000 0.1226 0.8774
Rh 0.8774 0.5000 0.1226
Rh 0.5000 0.8774 0.1226
Rh 0.1226 0.5000 0.8774
Sb 0.2957 0.7332 0.7332
Sb 0.2668 0.7043 0.2668
Sb 0.2668 0.2668 0.7043
Sb 0.7332 0.7332 0.2957
Sb 0.7043 0.2668 0.2668
Sb 0.7332 0.2957 0.7332
Nd 0.0000 0.0000 0.0000

Computed properties:
- volume (Å³/f.u.) = 354.2
- symmetry = R-3m
- ΔE_f (raw) (meV/atom) = -305
- total DFT energy (no corrections) (eV for the cell shown) = -123.513

=====

(3)
NdSb2Rh4 | PBE | optimized geometry

a = 4.3651 Å, b = 7.1772 Å, c = 17.2036 Å
α = 90.00°, β = 90.00°, γ = 90.00°
Fractional positions:
Sb 0.2500 0.7447 0.5328
Sb 0.7500 0.2447 0.9672
Sb 0.7500 0.0825 0.2060
Sb 0.2500 0.7553 0.0328
Sb 0.7500 0.2553 0.4672
Sb 0.2500 0.5825 0.2940
Sb 0.2500 0.9175 0.7940
Sb 0.7500 0.4175 0.7060
Rh 0.2500 0.4626 0.4379
Rh 0.2500 0.3834 0.0341
Rh 0.2500 0.1166 0.5341
Rh 0.7500 0.9626 0.0621
Rh 0.7500 0.5374 0.5621
Rh 0.2500 0.0374 0.9379
Rh 0.2500 0.6323 0.6797
Rh 0.7500 0.3677 0.3203
Rh 0.7500 0.1323 0.8203
Rh 0.7500 0.7218 0.7892
Rh 0.7500 0.6166 0.9659
Rh 0.2500 0.8677 0.1797
Rh 0.2500 0.2218 0.7108
Rh 0.7500 0.8834 0.4659
Rh 0.7500 0.7782 0.2892
Rh 0.2500 0.2782 0.2108
Nd 0.7500 0.9699 0.6436
Nd 0.7500 0.5301 0.1436
Nd 0.2500 0.4699 0.8564
Nd 0.2500 0.0301 0.3564

Computed properties:
- volume (Å³/f.u.) = 134.7
- symmetry = Pnma
- ΔE_f (raw) (meV/atom) = -573
- total DFT energy (no corrections) (eV for the cell shown) = -185.727
- polymorph energy (0 for the lowest one) (meV/atom) = 14.4

=====

(4)
NdSbRh2 | PBE | optimized geometry

a = 4.0259 Å, b = 3.8568 Å, c = 5.9120 Å
α = 90.00°, β = 90.00°, γ = 90.00°
Fractional positions:
Nd 0.5000 0.5000 0.0000
Rh 0.0000 0.0001 0.2306
Rh 0.0000 0.9999 0.7694
Sb 0.5000 0.0000 0.5000

Computed properties:
- volume (Å³/f.u.) = 91.8
- symmetry = Pmmm
- ΔE_f (raw) (meV/atom) = -456
- total DFT energy (no corrections) (eV for the cell shown) = -25.416

=====

(5)
NdSbRh | PBE | optimized geometry

a = 3.4602 Å, b = 8.4741 Å, c = 8.4741 Å
α = 120.00°, β = 90.00°, γ = 90.00°
Fractional positions:
Rh 0.0000 0.6654 0.0000
Rh 0.0000 0.0000 0.6654
Rh 0.0000 0.3346 0.3346
Sb 0.5000 0.6667 0.3333
Sb 0.5000 0.3333 0.6667
Sb 0.0000 0.0000 0.0000
Nd 0.5000 0.7042 0.7042
Nd 0.5000 0.0000 0.2958
Nd 0.5000 0.2958 0.0000

Computed properties:
- volume (Å³/f.u.) = 71.7
- symmetry = P-62m
- ΔE_f (raw) (meV/atom) = -333
- total DFT energy (no corrections) (eV for the cell shown) = -51.722

=====

(6)
Nd8Sb2Rh | PBE | optimized geometry

a = 4.7269 Å, b = 7.7109 Å, c = 9.8750 Å
α = 98.55°, β = 103.85°, γ = 90.00°
Fractional positions:
Nd 0.0062 0.7796 0.0123
Nd 0.5952 0.5113 0.1903
Nd 0.2142 0.3489 0.4285
Nd 0.7858 0.6511 0.5715
Nd 0.6472 0.0253 0.2944
Nd 0.9938 0.2204 0.9877
Nd 0.3528 0.9747 0.7056
Nd 0.4048 0.4887 0.8097
Sb 0.8171 0.2354 0.6342
Sb 0.1829 0.7646 0.3658
Rh 0.5000 0.0000 0.0000

Computed properties:
- volume (Å³/f.u.) = 345.3
- symmetry = C2/m
- ΔE_f (raw) (meV/atom) = -525
- total DFT energy (no corrections) (eV for the cell shown) = -59.512

=====

(7)
Nd3Sb4Rh7 | PBE | optimized geometry

a = 4.2811 Å, b = 8.3670 Å, c = 8.6963 Å
α = 71.52°, β = 75.75°, γ = 75.18°
Fractional positions:
Rh 0.0000 0.0000 0.0000
Rh 0.6941 0.1495 0.4622
Rh 0.4912 0.2242 0.7934
Rh 0.3059 0.8505 0.5378
Rh 0.8386 0.3952 0.9276
Rh 0.5088 0.7758 0.2066
Rh 0.1614 0.6048 0.0724
Nd 0.0000 0.5000 0.5000
Nd 0.3357 0.1750 0.1537
Nd 0.6643 0.8250 0.8463
Sb 0.1110 0.1124 0.6657
Sb 0.8890 0.8876 0.3343
Sb 0.6639 0.4446 0.2277
Sb 0.3361 0.5554 0.7723

Computed properties:
- volume (Å³/f.u.) = 280.9
- symmetry = C2/m
- ΔE_f (raw) (meV/atom) = -760
- total DFT energy (no corrections) (eV for the cell shown) = -92.893

=====

(8)
NdSb3Rh | PBE | optimized geometry

a = 6.1294 Å, b = 6.2453 Å, c = 12.9325 Å
α = 90.00°, β = 90.00°, γ = 90.00°
Fractional positions:
Sb 0.0000 0.7500 0.5022
Sb 0.7500 0.0079 0.7774
Sb 0.7500 0.5079 0.2226
Sb 0.0000 0.2500 0.4978
Sb 0.2500 0.4921 0.7774
Sb 0.7500 0.3953 0.9400
Sb 0.5000 0.7500 0.5022
Sb 0.7500 0.8953 0.0600
Sb 0.2500 0.1047 0.9400
Sb 0.2500 0.6047 0.0600
Sb 0.2500 0.9921 0.2226
Sb 0.5000 0.2500 0.4978
Nd 0.2500 0.5006 0.3064
Nd 0.2500 0.0006 0.6936
Nd 0.7500 0.9994 0.3064
Nd 0.7500 0.4994 0.6936
Rh 0.5000 0.7500 0.9036
Rh 0.0000 0.2500 0.0964
Rh 0.0000 0.7500 0.9036
Rh 0.5000 0.2500 0.0964

Computed properties:
- volume (Å³/f.u.) = 123.8
- symmetry = Pbcm
- ΔE_f (raw) (meV/atom) = -700
- total DFT energy (no corrections) (eV for the cell shown) = -111.949

=====

Calculated calculated density (kg/m³), listed in the same order as above: 9546, 9891, 9851, 8535, 8540, 7214, 9694, 8217